Record 1
# ZnAgO (PBE, relaxed)
data_ZnAgO
_chemical_formula_sum 'Zn2 Ag2 O2'
_cell_length_a 3.188
_cell_length_b 3.188
_cell_length_c 11.584
_cell_angle_alpha 65.58
_cell_angle_beta 65.58
_cell_angle_gamma 60.05
_symmetry_space_group_name_H-M 'P 1'
_symmetry_Int_Tables_number 1
loop_
_symmetry_equiv_pos_as_xyz
'x,y,z'
loop_
_atom_site_label
_atom_site_type_symbol
_atom_site_fract_x
_atom_site_fract_y
_atom_site_fract_z
Zn1 Zn 0.105 0.105 0.758
Zn2 Zn 0.713 0.713 0.484
Ag1 Ag 0.604 0.604 0.260
Ag2 Ag 0.156 0.156 0.043
O1 O 0.307 0.307 0.556
O2 O 0.375 0.375 0.822
# Calculated volume, Å³ per atom: 14.9
# Raw formation energy, eV per atom: -0.76
# M_tot, μB per formula unit: 0.00
# SG: Cm (8)

---

Record 2
# ZnAg2O (PBE, relaxed)
data_ZnAg2O
_chemical_formula_sum 'Zn2 Ag4 O2'
_cell_length_a 5.150
_cell_length_b 5.150
_cell_length_c 7.209
_cell_angle_alpha 69.07
_cell_angle_beta 69.07
_cell_angle_gamma 90.00
_symmetry_space_group_name_H-M 'P 1'
_symmetry_Int_Tables_number 1
loop_
_symmetry_equiv_pos_as_xyz
'x,y,z'
loop_
_atom_site_label
_atom_site_type_symbol
_atom_site_fract_x
_atom_site_fract_y
_atom_site_fract_z
Zn1 Zn 0.750 0.250 0.500
Zn2 Zn 0.000 0.000 0.000
Ag1 Ag 0.875 0.779 0.750
Ag2 Ag 0.221 0.625 0.250
Ag3 Ag 0.375 0.471 0.750
Ag4 Ag 0.529 0.125 0.250
O1 O 0.250 0.750 0.500
O2 O 0.500 0.500 0.000
# Calculated volume, Å³ per atom: 20.6
# Offset from the most stable computed form, meV per atom: 71
# Raw formation energy, eV per atom: 0.14
# M_tot, μB per formula unit: 0.00
# SG: I-42d (122)

---

Record 3
# Zn6AgO6 (PBE, relaxed)
data_Zn6AgO6
_chemical_formula_sum 'Zn6 Ag1 O6'
_cell_length_a 5.712
_cell_length_b 5.712
_cell_length_c 5.712
_cell_angle_alpha 90.00
_cell_angle_beta 90.00
_cell_angle_gamma 90.00
_symmetry_space_group_name_H-M 'P 1'
_symmetry_Int_Tables_number 1
loop_
_symmetry_equiv_pos_as_xyz
'x,y,z'
loop_
_atom_site_label
_atom_site_type_symbol
_atom_site_fract_x
_atom_site_fract_y
_atom_site_fract_z
Zn1 Zn 0.500 0.000 0.249
Zn2 Zn 0.249 0.500 0.000
Zn3 Zn 0.500 0.000 0.751
Zn4 Zn 0.751 0.500 0.000
Zn5 Zn 0.000 0.751 0.500
Zn6 Zn 0.000 0.249 0.500
O1 O 0.252 0.000 0.500
O2 O 0.500 0.252 0.000
O3 O 0.500 0.748 0.000
O4 O 0.000 0.500 0.748
O5 O 0.000 0.500 0.252
O6 O 0.748 0.000 0.500
Ag1 Ag 0.000 0.000 0.000
# Calculated volume, Å³ per atom: 14.3
# Raw formation energy, eV per atom: -1.13
# M_tot, μB per formula unit: 0.00
# SG: Pm-3 (200)

---

Record 4
# ZnAgO2 (PBE, relaxed)
data_ZnAgO2
_chemical_formula_sum 'Zn2 Ag2 O4'
_cell_length_a 5.087
_cell_length_b 5.087
_cell_length_c 5.635
_cell_angle_alpha 63.17
_cell_angle_beta 63.17
_cell_angle_gamma 90.00
_symmetry_space_group_name_H-M 'P 1'
_symmetry_Int_Tables_number 1
loop_
_symmetry_equiv_pos_as_xyz
'x,y,z'
loop_
_atom_site_label
_atom_site_type_symbol
_atom_site_fract_x
_atom_site_fract_y
_atom_site_fract_z
O1 O 0.170 0.625 0.250
O2 O 0.875 0.830 0.750
O3 O 0.580 0.125 0.250
O4 O 0.375 0.420 0.750
Zn1 Zn 0.500 0.500 0.000
Zn2 Zn 0.250 0.750 0.500
Ag1 Ag 0.000 0.000 0.000
Ag2 Ag 0.750 0.250 0.500
# Calculated volume, Å³ per atom: 14.0
# Raw formation energy, eV per atom: -0.58
# M_tot, μB per formula unit: 0.00
# SG: I-42d (122)

---

Record 5
# Zn3AgO (PBE, relaxed)
data_Zn3AgO
_chemical_formula_sum 'Zn3 Ag1 O1'
_cell_length_a 4.216
_cell_length_b 4.216
_cell_length_c 4.216
_cell_angle_alpha 90.00
_cell_angle_beta 90.00
_cell_angle_gamma 90.00
_symmetry_space_group_name_H-M 'P 1'
_symmetry_Int_Tables_number 1
loop_
_symmetry_equiv_pos_as_xyz
'x,y,z'
loop_
_atom_site_label
_atom_site_type_symbol
_atom_site_fract_x
_atom_site_fract_y
_atom_site_fract_z
Ag1 Ag 0.500 0.500 0.500
Zn1 Zn 0.500 0.000 0.000
Zn2 Zn 0.000 0.500 0.000
Zn3 Zn 0.000 0.000 0.500
O1 O 0.000 0.000 0.000
# Calculated volume, Å³ per atom: 15.0
# Offset from the most stable computed form, meV per atom: 0
# Raw formation energy, eV per atom: -0.13
# M_tot, μB per formula unit: 0.00
# SG: Pm-3m (221)

---

Record 6
# Zr3Ag3O (PBE, relaxed)
data_Zr3Ag3O
_chemical_formula_sum 'Zr12 Ag12 O4'
_cell_length_a 8.893
_cell_length_b 8.893
_cell_length_c 8.893
_cell_angle_alpha 60.00
_cell_angle_beta 60.00
_cell_angle_gamma 60.00
_symmetry_space_group_name_H-M 'P 1'
_symmetry_Int_Tables_number 1
loop_
_symmetry_equiv_pos_as_xyz
'x,y,z'
loop_
_atom_site_label
_atom_site_type_symbol
_atom_site_fract_x
_atom_site_fract_y
_atom_site_fract_z
Zr1 Zr 0.431 0.069 0.069
Zr2 Zr 0.181 0.181 0.819
Zr3 Zr 0.069 0.069 0.431
Zr4 Zr 0.819 0.181 0.819
Zr5 Zr 0.181 0.819 0.181
Zr6 Zr 0.431 0.431 0.069
Zr7 Zr 0.069 0.431 0.431
Zr8 Zr 0.431 0.069 0.431
Zr9 Zr 0.819 0.819 0.181
Zr10 Zr 0.819 0.181 0.181
Zr11 Zr 0.069 0.431 0.069
Zr12 Zr 0.181 0.819 0.819
O1 O 0.125 0.125 0.625
O2 O 0.125 0.625 0.125
O3 O 0.625 0.125 0.125
O4 O 0.125 0.125 0.125
Ag1 Ag 0.625 0.125 0.625
Ag2 Ag 0.413 0.413 0.413
Ag3 Ag 0.413 0.413 0.760
Ag4 Ag 0.413 0.760 0.413
Ag5 Ag 0.625 0.625 0.125
Ag6 Ag 0.837 0.837 0.490
Ag7 Ag 0.760 0.413 0.413
Ag8 Ag 0.125 0.625 0.625
Ag9 Ag 0.837 0.490 0.837
Ag10 Ag 0.625 0.625 0.625
Ag11 Ag 0.490 0.837 0.837
Ag12 Ag 0.837 0.837 0.837
# Calculated volume, Å³ per atom: 17.8
# Raw formation energy, eV per atom: -0.74
# M_tot, μB per formula unit: 0.00
# SG: Fd-3m (227)